# LaTb5Nd2Ho

A geometry-optimized LaTb5Nd2Ho structure (GGA-PBE, Alexandria).

Cell: 9.996 9.996 9.996 Å, 127.82 127.82 76.92°
Positions (direct):
La1 0.250 0.250 0.000
La2 0.750 0.750 0.000
Tb1 0.000 0.000 0.000
Tb2 0.072 0.572 0.918
Tb3 0.154 0.072 0.500
Tb4 0.346 0.846 0.918
Tb5 0.428 0.346 0.500
Tb6 0.500 0.500 0.000
Tb7 0.572 0.654 0.500
Tb8 0.654 0.154 0.082
Tb9 0.846 0.928 0.500
Tb10 0.928 0.428 0.082
Nd1 0.117 0.383 0.500
Nd2 0.383 0.883 0.265
Nd3 0.617 0.117 0.735
Nd4 0.883 0.617 0.500
Ho1 0.250 0.750 0.500
Ho2 0.750 0.250 0.500

DFT formation energy: 25.1 kJ/mol of atoms

# La2ZrBr

A geometry-optimized La2ZrBr structure (GGA-PBE, Alexandria).

Cell: 3.450 3.450 9.759 Å, 90.00 90.00 90.00°
Positions (direct):
La1 0.000 0.000 0.000
La2 0.500 0.500 0.319
Zr1 0.000 0.000 0.575
Br1 0.500 0.500 0.763

Offset from the most stable computed form: 268 meV/atom
ΔE_f (raw): -195 meV per atom

# SeS2IN

A geometry-optimized SeS2IN structure (GGA-PBE, Alexandria).

Cell: 5.269 5.269 3.891 Å, 90.00 90.00 90.00°
Positions (direct):
Se1 0.000 0.000 0.000
S1 0.000 0.500 0.500
S2 0.500 0.000 0.500
I1 0.500 0.500 0.500
N1 0.500 0.500 0.000

Offset from the most stable computed form: 359 meV/atom
ΔE_f (raw): 1587 meV per atom

# Pm4SmTm2Th

A geometry-optimized Pm4SmTm2Th structure (GGA-PBE, Alexandria).

Cell: 5.075 5.084 10.225 Å, 90.00 90.00 90.00°
Positions (direct):
Pm1 0.000 0.000 0.247
Pm2 0.000 0.000 0.753
Pm3 0.500 0.500 0.248
Pm4 0.500 0.500 0.752
Sm1 0.500 0.000 0.500
Tm1 0.000 0.500 0.500
Tm2 0.500 0.000 0.000
Th1 0.000 0.500 0.000

DFT formation energy: 2.7 kJ/mol of atoms